Density functional theory data (PBE+U) for a relaxed structure of Na3Tl3FeO8.

Geometry as CIF:
```
data_Na3Tl3FeO8
_chemical_formula_sum 'Na6 Tl6 Fe2 O16'
_space_group_name_H-M_alt 'C 1 2/m 1'
_space_group_IT_number 12
_space_group_name_Hall '-C 2y'
_cell_length_a 11.6454
_cell_length_b 6.6096
_cell_length_c 6.7314
_cell_angle_alpha 90.00
_cell_angle_beta 123.98
_cell_angle_gamma 90.00
loop_
_atom_site_label
_atom_site_type_symbol
_atom_site_fract_x
_atom_site_fract_y
_atom_site_fract_z
Na1 Na 0.0000 0.0000 0.0000
Na2 Na 0.2500 0.2500 0.0000
Tl1 Tl 0.0000 0.5000 0.5000
Tl2 Tl 0.2500 0.2500 0.5000
Fe1 Fe 0.0000 0.0000 0.5000
O1 O 0.0011 0.2094 0.2991
O2 O 0.2261 0.0000 0.7040
O3 O 0.2368 0.5000 0.7240
```

Final energy (eV per atom): -4.807